Entry 1:
Density functional theory data (PBE) for a relaxed structure of K12Mg3Br5.

Cell lengths 17.850, 17.850, 17.850 Å; angles 109.47, 109.47, 109.47 degrees
Element x y z (fractional)
Br: 0.625 0.875 0.250
K: 0.588 0.964 0.675
Mg: 0.875 0.750 0.125
K: 0.088 0.175 0.464
Mg: 0.625 0.375 0.750
Br: 0.000 0.500 0.500
K: 0.912 0.086 0.876
K: 0.536 0.211 0.124
K: 0.914 0.825 0.789
K: 0.376 0.964 0.789
K: 0.825 0.912 0.036
K: 0.789 0.325 0.914
Br: 0.000 0.000 0.500
K: 0.289 0.876 0.964
Br: 0.000 0.500 0.000
K: 0.376 0.412 0.086
Mg: 0.750 0.375 0.125
K: 0.325 0.789 0.414
K: 0.175 0.086 0.711
K: 0.211 0.536 0.624
K: 0.289 0.414 0.825
K: 0.464 0.789 0.876
K: 0.211 0.675 0.086
K: 0.124 0.711 0.536
Br: 0.500 0.000 0.500
Br: 0.625 0.750 0.875
K: 0.175 0.088 0.964
K: 0.414 0.289 0.325
K: 0.086 0.912 0.376
K: 0.914 0.088 0.624
K: 0.124 0.414 0.088
Mg: 0.250 0.125 0.375
K: 0.086 0.175 0.211
K: 0.964 0.588 0.175
Mg: 0.125 0.250 0.875
K: 0.088 0.914 0.124
Br: 0.250 0.375 0.625
K: 0.414 0.124 0.588
Mg: 0.875 0.125 0.250
K: 0.876 0.289 0.464
Br: 0.750 0.125 0.875
K: 0.711 0.586 0.175
K: 0.825 0.914 0.289
K: 0.586 0.711 0.675
Mg: 0.375 0.750 0.625
Mg: 0.625 0.250 0.375
K: 0.876 0.586 0.912
K: 0.912 0.825 0.536
K: 0.964 0.376 0.289
Br: 0.375 0.125 0.750
Br: 0.125 0.750 0.375
K: 0.036 0.624 0.711
K: 0.536 0.325 0.912
K: 0.464 0.675 0.088
K: 0.036 0.412 0.825
Br: 0.125 0.375 0.250
Br: 0.375 0.250 0.125
K: 0.789 0.464 0.376
K: 0.412 0.036 0.325
K: 0.675 0.464 0.588
Br: 0.500 0.500 0.000
K: 0.325 0.536 0.412
Mg: 0.250 0.625 0.875
Mg: 0.750 0.875 0.625
K: 0.711 0.124 0.036
K: 0.588 0.624 0.414
Mg: 0.375 0.625 0.250
K: 0.586 0.876 0.412
K: 0.624 0.588 0.914
Br: 0.500 0.000 0.000
K: 0.412 0.376 0.586
Br: 0.750 0.625 0.375
Mg: 0.125 0.875 0.750
Br: 0.875 0.250 0.625
Br: 0.000 0.000 0.000
Br: 0.250 0.875 0.125
K: 0.675 0.211 0.586
Br: 0.500 0.500 0.500
Br: 0.875 0.625 0.750
K: 0.624 0.036 0.211

Calculated values
Raw formation energy in eV/atom: -0.666
Symmetry: Ia-3d, No. 230
Total magnetic moment in μB/f.u.: 2.07
Theoretical density in Mg/m³: 1.4

=====

Entry 2:
Density functional theory data (PBE) for a relaxed structure of BaZnCd2Sn.

Cell lengths 4.759, 4.788, 7.004 Å; angles 109.99, 109.86, 90.00 degrees
Element x y z (fractional)
Ba: 0.441 0.441 0.883
Sn: 0.825 0.825 0.650
Zn: 0.194 0.694 0.387
Cd: 0.062 0.062 0.124
Cd: 0.690 0.190 0.381

Calculated values
Symmetry: Imm2, No. 44
Total magnetic moment in μB/f.u.: 0.00
Energy above the lowest structure with this stoichiometry in meV/atom: 0.0
Energy relative to the elements in eV per atom: -0.324
Theoretical density in Mg/m³: 6.5

=====

Entry 3:
Density functional theory data (PBE) for a relaxed structure of NdCl2.

Cell lengths 3.584, 7.269, 14.226 Å; angles 90.00, 90.00, 90.00 degrees
Element x y z (fractional)
Cl: 0.250 0.119 0.744
Cl: 0.250 0.381 0.244
Cl: 0.750 0.619 0.756
Nd: 0.250 0.060 0.129
Cl: 0.750 0.237 0.000
Nd: 0.250 0.440 0.629
Cl: 0.750 0.263 0.500
Nd: 0.750 0.560 0.371
Nd: 0.750 0.940 0.871
Cl: 0.250 0.763 0.000
Cl: 0.750 0.881 0.256
Cl: 0.250 0.737 0.500

Calculated values
Raw formation energy in eV/atom: -1.949
Symmetry: Pnma, No. 62
Total magnetic moment in μB/f.u.: 0.00
Theoretical density in Mg/m³: 3.9

=====

Entry 4:
Density functional theory data (PBE) for a relaxed structure of Fe4AgPd7.

Cell lengths 4.832, 7.086, 6.541 Å; angles 69.13, 68.32, 70.06 degrees
Each line ends with the local moment (μB).
Element x y z (fractional)
Fe: 0.307 0.354 0.032  3.12
Fe: 0.693 0.646 0.968  3.12
Pd: 0.066 0.593 0.275  0.31
Fe: 0.468 0.696 0.367  3.12
Pd: 0.934 0.407 0.725  0.31
Pd: 0.733 0.302 0.232  0.34
Pd: 0.500 0.000 0.000  0.31
Pd: 0.780 0.887 0.553  0.20
Fe: 0.532 0.304 0.633  3.12
Pd: 0.267 0.698 0.768  0.34
Ag: 0.000 0.000 0.000  0.03
Pd: 0.220 0.113 0.447  0.20

Calculated values
Symmetry: C2/m, No. 12
Total magnetic moment in μB/f.u.: 14.46
Energy relative to the elements in eV per atom: 0.222
Theoretical density in Mg/m³: 9.5

=====

Entry 5:
Density functional theory data (PBE) for a relaxed structure of AcTbTl4.

Cell lengths 6.356, 6.356, 6.356 Å; angles 60.00, 60.00, 60.00 degrees
Element x y z (fractional)
Tb: 0.000 0.000 0.000
Tl: 0.625 0.625 0.124
Ac: 0.250 0.250 0.250
Tl: 0.124 0.625 0.625
Tl: 0.625 0.625 0.625
Tl: 0.625 0.124 0.625

Calculated values
Symmetry: F-43m, No. 216
Total magnetic moment in μB/f.u.: 0.00
Energy above the lowest structure with this stoichiometry in meV/atom: 0.0
Energy relative to the elements in eV per atom: -0.126
Theoretical density in Mg/m³: 11.0

=====

Entry 6:
Density functional theory data (PBE) for a relaxed structure of HoPaInAu.

Cell lengths 5.223, 5.223, 5.223 Å; angles 60.00, 60.00, 60.00 degrees
Each line ends with the local moment (μB).
Element x y z (fractional)
Pa: 0.750 0.750 0.750  1.08
Au: 0.000 0.000 0.000  0.06
Ho: 0.250 0.250 0.250  0.35
In: 0.500 0.500 0.500  -0.01

Calculated values
Symmetry: F-43m, No. 216
Total magnetic moment in μB/f.u.: 1.92
Energy relative to the elements in eV per atom: -0.202
Theoretical density in Mg/m³: 11.7

=====

Entry 7:
Density functional theory data (PBE) for a relaxed structure of Zn3BSe.

Cell lengths 4.924, 4.924, 4.924 Å; angles 90.00, 90.00, 90.00 degrees
Element x y z (fractional)
Zn: 0.000 0.500 0.000
B: 0.500 0.500 0.500
Zn: 0.500 0.000 0.000
Se: 0.000 0.000 0.000
Zn: 0.000 0.000 0.500

Calculated values
Raw formation energy in eV/atom: 1.326
Symmetry: Pm-3m, No. 221
Total magnetic moment in μB/f.u.: 0.00
Energy above the lowest structure with this stoichiometry in meV/atom: 1091.2
Theoretical density in Mg/m³: 4.0

=====

Entry 8:
Density functional theory data (PBE) for a relaxed structure of Ac6SnRh2I3.

Cell lengths 7.898, 7.898, 8.939 Å; angles 98.52, 98.52, 120.00 degrees
Element x y z (fractional)
Ac: 0.298 0.298 0.808
Rh: 0.667 0.333 0.000
Rh: 0.333 0.667 0.000
Ac: 0.064 0.427 0.193
I: 0.500 0.500 0.500
Ac: 0.427 0.064 0.193
I: 0.840 0.160 0.500
I: 0.160 0.840 0.500
Sn: 0.000 0.000 0.000
Ac: 0.573 0.936 0.807
Ac: 0.702 0.702 0.192
Ac: 0.936 0.573 0.807

Calculated values
Raw formation energy in eV/atom: -0.932
Symmetry: C2/m, No. 12
Total magnetic moment in μB/f.u.: 0.00
Theoretical density in Mg/m³: 7.4